Computed, not measured: a geometry-optimized Ac2MnPd2O6 structure at the GGA+U level of DFT.

The value obtained for the uncorrected energy is -220.37 eV for the cell shown.

a b c (Å): 6.1247 6.1247 15.3923
angles (deg): 90.00 90.00 120.00
Space group R-3m (No. 166, hexagonal axes)
Asymmetric unit:
Ac: 0.0000 0.0000 0.2175 (multiplicity 6)
Mn: 0.0000 0.0000 0.0000 (multiplicity 3)
Pd: 0.0000 0.0000 0.4081 (multiplicity 6)
O: 0.0550 0.5275 0.7530 (multiplicity 18)